Density functional theory data (GGA-PBE) for a geometry-optimized Pm7Nd2Y3 structure.

## Properties
Formation energy ... 0.0813 eV/atom
DOS(E_F) ... 1.416 states/eV per atom
Symmetry ... P2/m, No. 10

a b c (Å): 5.9222 3.6524 19.1101
angles (deg): 90.00 93.60 90.00
Closest atoms and distances in Å follow each position.
Fractional coordinates of all 12 atoms:
1 Pm 0.0000 0.0000 0.0000  4 Pm 3.44-3.65, 4 Y 3.48
2 Pm 0.1786 0.5000 0.1783  6 Pm 3.51-3.65, 2 Nd 3.71-3.73
3 Pm 0.2583 0.5000 0.5363  1 Nd 3.19, 2 Pm 3.26-3.28
4 Pm 0.3228 0.0000 0.8563  2 Y 3.41, 2 Nd 3.44, 7 Pm 3.44-3.65
5 Pm 0.6772 0.0000 0.1437  2 Y 3.41, 2 Nd 3.44, 7 Pm 3.44-3.65
6 Pm 0.7417 0.5000 0.4637  1 Nd 3.19, 2 Pm 3.26-3.28
7 Pm 0.8214 0.5000 0.8217  6 Pm 3.51-3.65, 2 Nd 3.71-3.73
8 Nd 0.2955 0.5000 0.7036  3 Pm 3.19-3.44
9 Nd 0.7045 0.5000 0.2964  3 Pm 3.19-3.44
10 Y 0.2170 0.0000 0.3686  2 Y 3.65, 8 Pm 3.68-4.06, 4 Nd 3.73-3.75
11 Y 0.5000 0.5000 0.0000  8 Pm 3.41-3.48, 2 Y 3.65
12 Y 0.7830 0.0000 0.6314  2 Y 3.65, 8 Pm 3.68-4.06, 4 Nd 3.73-3.75

Density functional theory data (GGA-PBE) for a geometry-optimized CaTm2Hg4 structure.

## Properties
Formation energy ... -0.3937 eV/atom
DOS(E_F) ... 0.553 states/eV per atom
Symmetry ... I4/mmm, No. 139

a b c (Å): 6.3232 6.3232 6.3232
angles (deg): 107.94 107.94 112.58
Closest atoms and distances in Å follow each position.
Fractional coordinates of all 7 atoms:
1 Ca 0.0000 0.0000 0.0000  8 Hg 3.16
2 Tm 0.0000 0.5000 0.5000  8 Hg 3.16, 2 Tm 3.51
3 Tm 0.5000 0.0000 0.5000  8 Hg 3.16, 2 Tm 3.51
4 Hg 0.0000 0.0000 0.5000  2 Ca 3.16, 4 Tm 3.16, 2 Hg 3.51
5 Hg 0.0000 0.5000 0.0000  2 Ca 3.16, 4 Tm 3.16, 2 Hg 3.51
6 Hg 0.5000 0.0000 0.0000  2 Ca 3.16, 4 Tm 3.16, 2 Hg 3.51
7 Hg 0.5000 0.5000 0.5000  2 Ca 3.16, 4 Tm 3.16, 2 Hg 3.51

Density functional theory data (GGA-PBE) for a geometry-optimized LiHf2HRh structure.

## Properties
DOS(E_F) ... 0.473 states/eV per atom
Symmetry ... P4/mmm, No. 123
VASP energy ... -34.50 eV for the cell shown

a b c (Å): 4.5203 4.5203 3.4542
angles (deg): 90.00 90.00 90.00
Closest atoms and distances in Å follow each position.
Fractional coordinates of all 5 atoms:
1 Li 0.0000 0.0000 0.0000  2 H 1.73
2 Hf 0.0000 0.5000 0.5000  2 H 2.26
3 Hf 0.5000 0.0000 0.5000  2 H 2.26
4 H 0.0000 0.0000 0.5000  2 Li 1.73
5 Rh 0.5000 0.5000 0.0000  8 Hf 2.84

Which formula does entry 1 have?
Pm7Nd2Y3

Which formula does entry 2 have?
CaTm2Hg4